No. 1
Below is an optimized crystal structure of Y2HfIrN, with properties calculated at the PBE-GGA level.

The formation energy from raw total energies comes out at 0.6912 eV per atom. The value obtained for the spin magnetization is 0.005 μB per cell.

The structure belongs to space group P4/mmm (No. 123); the cell edges are 5.565, 5.565 and 3.957 Å and the angles 90.00°, 90.00° and 90.00°. The asymmetric unit holds Y at (0.000, 0.500, 0.000), Hf at (0.000, 0.000, 0.000), Ir at (0.500, 0.500, 0.500) and N at (0.000, 0.000, 0.500).



No. 2
Below is an optimized crystal structure of Hf2ZrIrN, with properties calculated at the PBE-GGA level.

The formation energy from raw total energies comes out at -1.0019 eV per atom. The value obtained for the spin magnetization is 0.000 μB per cell.

The structure belongs to space group P4/mmm (No. 123); the cell edges are 4.362, 4.362 and 4.425 Å and the angles 90.00°, 90.00° and 90.00°. The asymmetric unit holds Hf at (0.000, 0.500, 0.000), Zr at (0.000, 0.000, 0.500), Ir at (0.500, 0.500, 0.500) and N at (0.000, 0.000, 0.000).



No. 3
Below is an optimized crystal structure of NaHf3Ir, with properties calculated at the PBE-GGA level.

The calculation puts the excess energy over the best structure of this formula in the dataset at 0.000 eV/atom. The value obtained for the spin magnetization is 0.078 μB per cell. The calculation puts the energy relative to the elements at 0.305 eV per atom.

The structure belongs to space group Pm-3m (No. 221); the cell edges are 5.105, 5.105 and 5.105 Å and the angles 90.00°, 90.00° and 90.00°. The asymmetric unit holds Na at (0.000, 0.000, 0.000), Hf at (0.000, 0.500, 0.500) and Ir at (0.500, 0.500, 0.500).



No. 4
Below is an optimized crystal structure of NaHf2Ir2, with properties calculated at the PBE-GGA level.

The calculation puts the excess energy over the best structure of this formula in the dataset at 0.000 eV/atom. The value obtained for the spin magnetization is 0.000 μB per cell. The calculation puts the energy relative to the elements at -0.582 eV per atom.

The structure belongs to space group P4/mbm (No. 127); the cell edges are 7.933, 7.933 and 3.076 Å and the angles 90.00°, 90.00° and 90.00°. The asymmetric unit holds Na at (0.000, 0.000, 0.000), Hf at (0.149, 0.351, 0.500) and Ir at (0.142, 0.642, 0.000).



No. 5
Below is an optimized crystal structure of NaHf2Ir2, with properties calculated at the PBE-GGA level.

The calculation puts the excess energy over the best structure of this formula in the dataset at 0.047 eV/atom. The value obtained for the spin magnetization is 0.000 μB per cell. The calculation puts the energy relative to the elements at -0.535 eV per atom.

The structure belongs to space group P4/mbm (No. 127); the cell edges are 7.982, 7.982 and 3.036 Å and the angles 90.00°, 90.00° and 90.00°. The asymmetric unit holds Na at (0.000, 0.000, 0.000), Hf at (0.145, 0.355, 0.000) and Ir at (0.146, 0.646, 0.500).



No. 6
Below is an optimized crystal structure of NaHf3Ir, with properties calculated at the PBE-GGA level.

The calculation puts the excess energy over the best structure of this formula in the dataset at 1.465 eV/atom. The value obtained for the spin magnetization is 0.000 μB per cell. The calculation puts the energy relative to the elements at 1.770 eV per atom.

The structure belongs to space group Pm-3m (No. 221); the cell edges are 4.760, 4.760 and 4.760 Å and the angles 90.00°, 90.00° and 90.00°. The asymmetric unit holds Na at (0.000, 0.000, 0.000), Hf at (0.000, 0.000, 0.500) and Ir at (0.500, 0.500, 0.500).



No. 7
Below is an optimized crystal structure of NaHf2IrO8, with properties calculated at the PBE-GGA level.

The formation energy from raw total energies comes out at -2.0835 eV per atom. The value obtained for the spin magnetization is 3.436 μB per cell.

The structure belongs to space group Cmmm (No. 65); the cell edges are 6.785, 6.841 and 6.533 Å and the angles 90.00°, 90.00° and 90.00°. The asymmetric unit holds Na at (0.000, 0.000, 0.000), Hf at (0.000, 0.500, 0.238), Ir at (0.000, 0.000, 0.500), O at (0.000, 0.290, 0.500), O at (0.000, 0.317, 0.000) and O at (0.199, 0.000, 0.296).



No. 8
Below is an optimized crystal structure of Na2HfIrO6, with properties calculated at the PBE-GGA level.

The formation energy from raw total energies comes out at -1.7793 eV per atom. The value obtained for the spin magnetization is 0.000 μB per cell.

The structure belongs to space group P4/mmm (No. 123); the cell edges are 5.636, 5.636 and 3.983 Å and the angles 90.00°, 90.00° and 90.00°. The asymmetric unit holds Na at (0.000, 0.500, 0.000), Hf at (0.000, 0.000, 0.500), Ir at (0.500, 0.500, 0.500), O at (0.000, 0.000, 0.000), O at (0.259, 0.259, 0.500) and O at (0.500, 0.500, 0.000).



No. 9
Below is an optimized crystal structure of Na2HfIr3O12, with properties calculated at the PBE-GGA level.

The formation energy from raw total energies comes out at -1.1947 eV per atom. The value obtained for the spin magnetization is 0.002 μB per cell.

The structure belongs to space group R-3m (No. 166, hexagonal axes); the cell edges are 7.2344, 7.2344 and 18.2683 Å and the angles 90.00°, 90.00° and 120.00°. The asymmetric unit holds Na at (0.0000, 0.0000, 0.1892), Hf at (0.0000, 0.0000, 0.5000), Ir at (0.0000, 0.5000, 0.0000), O at (0.0541, 0.5270, 0.1049) and O at (0.0769, 0.5384, 0.3482).



No. 10
Below is an optimized crystal structure of NaHf2PIr, with properties calculated at the PBE-GGA level.

The value obtained for the spin magnetization is 0.000 μB per cell. The calculation puts the energy relative to the elements at 0.064 eV per atom.

The structure belongs to space group P4/mmm (No. 123); the cell edges are 4.881, 4.881 and 4.434 Å and the angles 90.00°, 90.00° and 90.00°. The asymmetric unit holds Na at (0.000, 0.000, 0.000), Hf at (0.000, 0.500, 0.500), P at (0.500, 0.500, 0.500) and Ir at (0.500, 0.500, 0.000).



No. 11
Below is an optimized crystal structure of NaHfIrRh2, with properties calculated at the PBE-GGA level.

The value obtained for the spin magnetization is 0.000 μB per cell. The calculation puts the energy relative to the elements at 1.467 eV per atom.

The structure belongs to space group P4/mmm (No. 123); the cell edges are 4.348, 4.348 and 4.638 Å and the angles 90.00°, 90.00° and 90.00°. The asymmetric unit holds Na at (0.000, 0.000, 0.000), Hf at (0.000, 0.000, 0.500), Ir at (0.500, 0.500, 0.500) and Rh at (0.000, 0.500, 0.000).



No. 12
Below is an optimized crystal structure of Na2HfIrS, with properties calculated at the PBE-GGA level.

The formation energy from raw total energies comes out at 1.0735 eV per atom. The value obtained for the spin magnetization is 0.000 μB per cell.

The structure belongs to space group P4/mmm (No. 123); the cell edges are 6.053, 6.053 and 4.674 Å and the angles 90.00°, 90.00° and 90.00°. The asymmetric unit holds Na at (0.000, 0.500, 0.000), Hf at (0.000, 0.000, 0.000), Ir at (0.000, 0.000, 0.500) and S at (0.500, 0.500, 0.500).